This record from the Alexandria database describes CrInN2F after structural relaxation. The functional is GGA+U.

The structure belongs to space group P4/mmm (No. 123); the cell edges are 3.972, 3.972 and 3.849 Å and the angles 90.00°, 90.00° and 90.00°. Symmetry generates all atoms from Cr at (0.000, 0.000, 0.000), In at (0.500, 0.500, 0.500), N at (0.000, 0.500, 0.000) and F at (0.000, 0.000, 0.500).

The calculation puts the energy above the most stable polymorph in this dataset at 0 meV per atom.